DFT (GGA-PBE) results for a relaxed Rb2VGeS4 crystal.

Density of states at the Fermi level = 0.57 states/eV/atom
VASP energy = -313.21 eV/cell
Formation energy from raw total energies = -0.871 eV per atom
Spin magnetization = 8.000 μB per cell

Lattice parameters (Å, degrees): 6.5593 13.6394 22.9295 90.00 90.00 90.00
Last column: nearest neighbours and their distance in Å.
Space group Fddd (No. 70, origin choice 2)
One atom of each set of equivalent atoms:
Rb 0.1250 0.1250 0.3045 (multiplicity 16)  6 S 3.51-3.81
V 0.1250 0.1250 0.1250 (multiplicity 8)  4 S 2.23
Ge 0.1250 0.1250 0.6250 (multiplicity 8)  4 S 2.49
S 0.0965 0.2851 0.4260 (multiplicity 32)  1 V 2.23, 1 Ge 2.49